The following is a meta-GGA SCAN calculation of a PBEsol-optimized structure of Ti5Si3C, from the Alexandria database.

As for the formation energy without anion corrections: -859.0 meV/atom. For the total magnetization, the calculation gives 0.00 μB/f.u. The calculated density comes out at 4589 kg/m3. As for the total energy: -14.23 eV/atom.

It has space group P6_3/mcm (No. 193), with a = 7.4101 Å, b = 7.4101 Å, c = 5.1076 Å, α = 90.00°, β = 90.00° and γ = 120.00°. Symmetry generates all atoms from Ti at (0.0000, 0.2325, 0.2500), Ti at (0.3333, 0.6667, 0.0000), Si at (0.0000, 0.4059, 0.7500) and C at (0.0000, 0.0000, 0.0000).

=====

The following is a meta-GGA SCAN calculation of a PBEsol-optimized structure of TlSi3C, from the Alexandria database.

As for the formation energy without anion corrections: 1170.4 meV/atom. For the total magnetization, the calculation gives 0.00 μB/f.u. The calculated density comes out at 6592 kg/m3. As for the total energy: -21.33 eV/atom.

It has space group Pm-3m (No. 221), with a = 4.231 Å, b = 4.231 Å, c = 4.231 Å, α = 90.00°, β = 90.00° and γ = 90.00°. Symmetry generates all atoms from Tl at (0.000, 0.000, 0.000), Si at (0.000, 0.500, 0.500) and C at (0.500, 0.500, 0.500).

=====

The following is a meta-GGA SCAN calculation of a PBEsol-optimized structure of SiWC2, from the Alexandria database.

As for the formation energy without anion corrections: 509.2 meV/atom. For the total magnetization, the calculation gives 0.00 μB/f.u. The calculated density comes out at 8445 kg/m3. As for the total energy: -24.47 eV/atom.

It has space group I-42d (No. 122), with a = 4.628 Å, b = 4.628 Å, c = 8.665 Å, α = 90.00°, β = 90.00° and γ = 90.00°. Symmetry generates all atoms from Si at (0.000, 0.000, 0.000), W at (0.000, 0.000, 0.500) and C at (0.223, 0.250, 0.125).